Record 1
## AlPtSe2 (GGA-PBEsol)

Data for AlPtSe2 after structural relaxation.

Unit cell a=4.5827 b=4.5827 c=4.5827 alpha=60.00 beta=60.00 gamma=60.00
With the nearest neighbours (Å) after each atom.
Fractional positions:
Al 0.0000 0.0000 0.0000  4 Se 2.81, 4 Pt 2.81
Pt 0.7500 0.7500 0.7500  4 Se 2.81, 4 Al 2.81
Se 0.2500 0.2500 0.2500  4 Se 2.81, 4 Al 2.81
Se 0.5000 0.5000 0.5000  4 Se 2.81, 4 Pt 2.81

**Space group**: F-43m

Record 2
## TiSi2Ir (GGA-PBEsol)

Data for TiSi2Ir after structural relaxation.

Unit cell a=9.0179 b=9.0179 c=9.0179 alpha=155.92 beta=155.92 gamma=34.32
With the nearest neighbours (Å) after each atom.
Fractional positions:
Ti 0.0000 0.0000 0.0000  4 Si 2.56, 4 Ir 2.66
Ti 0.7500 0.2500 0.5000  4 Si 2.56, 4 Ir 2.66
Si 0.1460 0.6250 0.0210  2 Ir 2.50, 4 Si 2.55-2.77, 2 Ti 2.56
Si 0.3750 0.3960 0.5210  2 Ir 2.50, 4 Si 2.55-2.77, 2 Ti 2.56
Si 0.6040 0.1250 0.9790  2 Ir 2.50, 4 Si 2.55-2.77, 2 Ti 2.56
Si 0.8750 0.8540 0.4790  2 Ir 2.50, 4 Si 2.55-2.77, 2 Ti 2.56
Ir 0.2500 0.7500 0.5000  4 Si 2.50, 4 Ti 2.66
Ir 0.5000 0.5000 0.0000  4 Si 2.50, 4 Ti 2.66

**Space group**: I-42d

Record 3
## TcSbSN2 (GGA-PBEsol)

Data for TcSbSN2 after structural relaxation.

Unit cell a=3.9172 b=3.9172 c=5.2340 alpha=90.00 beta=90.00 gamma=90.00
With the nearest neighbours (Å) after each atom.
Fractional positions:
Tc 0.0000 0.0000 0.0000  4 S 2.77
Sb 0.5000 0.5000 0.5000  4 N 1.96
S 0.5000 0.5000 0.0000  2 Sb 2.62, 4 Tc 2.77
N 0.0000 0.5000 0.5000  2 Sb 1.96
N 0.5000 0.0000 0.5000  2 Sb 1.96

**Space group**: P4/mmm

Record 4
## ReSi4Mo (GGA-PBEsol)

Data for ReSi4Mo after structural relaxation.

Unit cell a=3.1762 b=3.1762 c=7.8116 alpha=90.00 beta=90.00 gamma=90.00
With the nearest neighbours (Å) after each atom.
Fractional positions:
Re 0.0000 0.0000 0.0000  10 Si 2.60-2.61
Si 0.0000 0.0000 0.3343  5 Si 2.59, 4 Mo 2.59, 1 Re 2.61
Si 0.0000 0.0000 0.6657  5 Si 2.59, 4 Mo 2.59, 1 Re 2.61
Si 0.5000 0.5000 0.1683  1 Mo 2.59, 5 Si 2.59-2.63, 4 Re 2.60
Si 0.5000 0.5000 0.8317  1 Mo 2.59, 5 Si 2.59-2.63, 4 Re 2.60
Mo 0.5000 0.5000 0.5000  10 Si 2.59

**Space group**: P4/mmm

Record 5
## TlIn2Sb (GGA-PBEsol)

Data for TlIn2Sb after structural relaxation.

Unit cell a=3.4963 b=4.1443 c=7.4216 alpha=90.00 beta=90.00 gamma=90.00
With the nearest neighbours (Å) after each atom.
Fractional positions:
Tl 0.0000 0.0000 0.0000  8 In 3.35, 2 Tl 3.50, 2 Sb 3.71
In 0.5000 0.5000 0.2646  4 Sb 3.23, 4 Tl 3.35, 3 In 3.49-3.50
In 0.5000 0.5000 0.7354  4 Sb 3.23, 4 Tl 3.35, 3 In 3.49-3.50
Sb 0.0000 0.0000 0.5000  8 In 3.23, 2 Sb 3.50

**Space group**: Pmmm

Record 6
## Nb2ReAsBr (GGA-PBEsol)

Data for Nb2ReAsBr after structural relaxation.

Unit cell a=4.9702 b=4.9702 c=4.6009 alpha=90.00 beta=90.00 gamma=90.00
With the nearest neighbours (Å) after each atom.
Fractional positions:
Nb 0.0000 0.5000 0.0000  2 Re 2.49
Nb 0.5000 0.0000 0.0000  2 Re 2.49
Re 0.0000 0.0000 0.0000  2 As 2.30, 4 Nb 2.49
As 0.0000 0.0000 0.5000  2 Re 2.30
Br 0.5000 0.5000 0.5000  8 Nb 3.39, 4 As 3.51

**Space group**: P4/mmm

What are the energy relative to the elements, uncorrected values for these records? In order: 0.141, -0.244, 1.570, -0.469, 0.012, 1.013 eV/atom.
What are the total moment values for these records? In order: 0.00, 0.00, 4.56, 0.00, 0.00, 0.10 μB per formula unit.